# VCoPb2O5

An optimized crystal structure of VCoPb2O5 (GGA+U, Alexandria via LeMat-Bulk).

Properties
Uncorrected energy, Ha/atom: -0.2303
Space group: Cmc2_1, No. 36

Cell: 7.1098 7.1098 11.5402 Å, 90.00 90.00 153.67°
With the nearest neighbours (Å) after each atom.
Positions (direct):
V1 0.2164 0.7836 0.5000  1 O 1.78
V2 0.7836 0.2164 0.0000  1 O 1.78
Co1 0.4518 0.5482 0.9062  4 O 1.95-1.99
Co2 0.5482 0.4518 0.4062  4 O 1.95-1.99
Pb1 0.0713 0.9287 0.1338  3 O 2.33-2.43
Pb2 0.1582 0.8418 0.7758  7 O 2.47-2.73
Pb3 0.8418 0.1582 0.2758  7 O 2.47-2.73
Pb4 0.9287 0.0713 0.6338  3 O 2.33-2.43
O1 0.0588 0.9412 0.5059  2 Co 1.99, 1 V 2.18
O2 0.2820 0.7180 0.1120  2 V 2.07
O3 0.3085 0.6915 0.8915  1 Co 1.99, 2 V 2.08
O4 0.3417 0.6583 0.4666  1 V 1.78
O5 0.4874 0.5126 0.2541  1 Co 1.95
O6 0.5126 0.4874 0.7541  1 Co 1.95
O7 0.6583 0.3417 0.9666  1 V 1.78
O8 0.6915 0.3085 0.3915  1 Co 1.99, 2 V 2.08
O9 0.7180 0.2820 0.6120  2 V 2.07
O10 0.9412 0.0588 0.0059  2 Co 1.99, 1 V 2.18